Below is Sc2Tl3InSe6 after structural relaxation, with properties calculated at the GGA-PBE level.

```
12
Lattice="-0.546 -1.708 6.734 5.470 -2.194 -3.719 2.246 7.699 0.934" Properties=species:S:1:pos:R:3 pbc="T T T"
Se 6.592 3.121 1.286
Se 4.553 3.286 4.829
Se 3.154 5.125 1.576
Se 0.578 0.677 2.663
Se 2.617 0.512 -0.879
Se 4.016 -1.328 2.373
Tl 5.594 1.736 -1.518
Tl 3.585 1.899 1.975
Tl 1.575 2.061 5.467
In 0.000 0.000 0.000
Sc 3.466 -2.032 -0.238
Sc 1.458 -1.870 3.252
```

Output
SG: C2/m, No. 12
Calculated volume: 325 Å³ per cell
Formation energy (no corrections): -0.9856 eV per atom



Below is TiCl4 after structural relaxation, with properties calculated at the GGA-PBE level.

```
20
Lattice="7.024 0.000 0.000 0.000 10.715 -0.016 0.000 2.224 10.368" Properties=species:S:1:pos:R:3 pbc="T T T"
Cl 0.943 9.935 6.046
Cl 2.974 1.695 3.132
Cl 4.020 8.563 4.866
Cl 0.538 2.807 8.316
Cl 6.486 10.132 2.036
Cl 3.004 4.376 5.486
Cl 4.050 11.244 7.220
Cl 4.034 4.944 2.120
Cl 4.455 4.116 9.491
Cl 6.516 9.675 10.050
Cl 2.990 7.995 8.232
Cl 6.502 6.056 7.304
Cl 0.508 3.264 0.302
Cl 6.081 3.004 4.307
Cl 0.522 6.883 3.048
Cl 2.569 8.823 0.862
Ti 4.025 3.504 3.763
Ti 0.513 8.322 1.406
Ti 2.999 9.435 6.590
Ti 6.511 4.617 8.947
```

Output
SG: P2_1/c, No. 14
Calculated volume: 781 Å³ per cell
Formation energy (no corrections): -1.5874 eV per atom



Below is CsLa2HgSe4 after structural relaxation, with properties calculated at the GGA-PBE level.

```
16
Lattice="4.586 0.000 0.000 -2.293 7.519 0.000 0.000 0.000 15.440" Properties=species:S:1:pos:R:3 pbc="T T T"
Se 0.000 0.000 0.000
Se 2.293 0.885 3.860
Se 0.000 0.000 7.720
Se 2.293 3.636 9.263
Se 0.000 6.635 11.580
Se 0.000 3.883 6.177
Se 2.293 3.636 13.897
Se 0.000 3.883 1.543
Hg 0.000 2.314 3.860
Hg 2.293 5.206 11.580
La 0.000 5.605 14.522
La 2.293 1.914 0.919
La 0.000 5.605 8.639
La 2.293 1.914 6.802
Cs 2.293 5.683 3.860
Cs 0.000 1.837 11.580
```

Output
SG: Cmcm, No. 63
Calculated volume: 532 Å³ per cell
Formation energy (no corrections): -1.4342 eV per atom



- Number 3 is which compound?
  CsLa2HgSe4